1.
VASP calculation (PBE) on a relaxed structure of Pm4CoNiBr2.

Results
uncorrected formation energy: -6.230 eV/f.u.
total magnetization: 0.0 Bohr magnetons per cell

Cell lengths 6.950, 4.014, 8.063 Å; angles 90.00, 106.73, 90.00 degrees
Sites, in units of the cell vectors:
1 Pm 0.226 0.000 0.192
2 Pm 0.263 0.500 0.808
3 Pm 0.737 0.500 0.192
4 Pm 0.774 0.000 0.808
5 Co 0.000 0.500 0.000
6 Ni 0.500 0.000 0.000
7 Br 0.000 0.000 0.500
8 Br 0.500 0.500 0.500

---

2.
VASP calculation (PBE) on a relaxed structure of Rb4TbNd3Se8.

Results
uncorrected formation energy: -27.758 eV/f.u.
total magnetization: 0.0 Bohr magnetons per cell

Cell lengths 9.466, 9.466, 9.466 Å; angles 54.72, 54.72, 54.72 degrees
Sites, in units of the cell vectors:
1 Rb 0.000 0.000 0.000
2 Rb 0.000 0.500 0.500
3 Rb 0.500 0.000 0.500
4 Rb 0.500 0.500 0.000
5 Tb 0.500 0.500 0.500
6 Nd 0.000 0.000 0.500
7 Nd 0.000 0.500 0.000
8 Nd 0.500 0.000 0.000
9 Se 0.234 0.234 0.234
10 Se 0.239 0.730 0.730
11 Se 0.270 0.270 0.761
12 Se 0.270 0.761 0.270
13 Se 0.730 0.239 0.730
14 Se 0.730 0.730 0.239
15 Se 0.761 0.270 0.270
16 Se 0.766 0.766 0.766

---

Number 1: VASP energy -5.18 eV/atom. Number 2: VASP energy -4.90 eV/atom.